(1)
Crystalline Li2ScCd2 at its relaxed geometry, computed with PBE-GGA.

Lattice parameters (Å, degrees): 3.2778 3.5859 8.7674 78.20 90.00 90.00
Closest atoms and distances in Å follow each position.
Atoms (fractional coordinates):
Li 0.0000 0.8072 0.3856  2 Li 2.66, 4 Cd 2.81
Li 0.0000 0.1928 0.6144  2 Li 2.66, 4 Cd 2.81
Cd 0.5000 0.3893 0.2214  4 Li 2.81, 4 Sc 3.08
Cd 0.5000 0.6107 0.7786  4 Li 2.81, 4 Sc 3.08
Sc 0.0000 0.0000 0.0000  8 Cd 3.08, 2 Sc 3.28, 2 Li 3.31

energy relative to the lowest polymorph listed for this composition = 0.0 meV per atom
formation enthalpy at 0 K = -0.18 eV/atom
DFT total energy = -2.579 eV per atom
magnetization = 0.000 μB per atom

(2)
Crystalline Ba3TcPd at its relaxed geometry, computed with PBE-GGA.

Lattice parameters (Å, degrees): 5.7420 5.7420 5.7420 90.00 90.00 90.00
Closest atoms and distances in Å follow each position.
Atoms (fractional coordinates):
Tc 0.0000 0.0000 0.0000  6 Ba 2.87
Pd 0.5000 0.5000 0.5000  12 Ba 4.06
Ba 0.0000 0.0000 0.5000  2 Tc 2.87
Ba 0.0000 0.5000 0.0000  2 Tc 2.87
Ba 0.5000 0.0000 0.0000  2 Tc 2.87

energy relative to the lowest polymorph listed for this composition = 0.0 meV per atom
formation enthalpy at 0 K = 0.48 eV/atom
DFT total energy = -3.786 eV per atom
magnetization = 0.000 μB per atom

(3)
Crystalline SrP2PtPb at its relaxed geometry, computed with PBE-GGA.

Lattice parameters (Å, degrees): 4.8530 5.5340 4.8530 90.00 90.00 90.00
Closest atoms and distances in Å follow each position.
Atoms (fractional coordinates):
Sr 0.5000 0.5000 0.5000  4 Pb 3.43, 8 P 3.68
P 0.5000 0.0000 0.0000  2 Pt 2.43
P 0.0000 0.0000 0.5000  2 Pt 2.43
Pb 0.0000 0.5000 0.0000  2 Pt 2.77
Pt 0.0000 0.0000 0.0000  4 P 2.43

energy relative to the lowest polymorph listed for this composition = 0.0 meV per atom
formation enthalpy at 0 K = 0.04 eV/atom
DFT total energy = -4.411 eV per atom
magnetization = 0.000 μB per atom